Record 1
A relaxed structure of Ta4NbW2, computed with PBE.

Computed properties:
distance to the lowest polymorph of the same formula: 0.105 eV per atom
calculated total energy: -0.4197 hartree per atom

extended XYZ file:
```
7
Lattice="2.323 1.341 7.135 -2.323 1.341 7.135 0.000 -2.682 7.135" Properties=species:S:1:pos:R:3 pbc="T T T"
Ta 0.000 0.000 2.488
Ta 0.000 0.000 5.385
Ta 0.000 0.000 16.022
Ta 0.000 0.000 18.918
Nb 0.000 0.000 10.703
W 0.000 0.000 8.024
W 0.000 0.000 13.382
```


Record 2
A relaxed structure of ThCd5, computed with PBE.

Computed properties:
calculated total energy: -0.0777 hartree per atom

extended XYZ file:
```
6
Lattice="4.354 -2.486 0.000 4.354 2.486 0.000 -0.643 0.000 6.826" Properties=species:S:1:pos:R:3 pbc="T T T"
Th 0.000 0.000 0.000
Cd -0.321 0.000 3.413
Cd 2.278 0.000 5.083
Cd 2.902 0.000 1.736
Cd 5.164 0.000 5.090
Cd 5.788 0.000 1.743
```


Record 3
A relaxed structure of SmGa9Co2, computed with PBE.

Computed properties:
distance to the lowest polymorph of the same formula: 0.079 eV per atom
calculated total energy: -0.1490 hartree per atom

extended XYZ file:
```
24
Lattice="-5.414 5.414 3.355 5.414 -5.414 3.355 5.414 5.414 -3.355" Properties=species:S:1:pos:R:3 pbc="T T T"
Sm 5.414 2.707 0.839
Sm 0.000 2.707 2.516
Ga 4.120 -0.631 1.218
Ga 6.709 -0.631 1.218
Ga 5.414 -2.707 2.516
Ga 2.076 1.412 0.460
Ga 8.753 1.412 0.460
Ga 4.120 4.783 -1.218
Ga 1.295 -0.631 2.137
Ga 2.076 4.002 0.460
Ga 3.338 -1.412 3.815
Ga 2.076 6.827 -0.460
Ga 3.338 1.412 2.895
Ga 4.120 6.046 1.218
Ga 1.295 0.631 4.573
Ga -3.338 4.002 2.895
Ga 3.338 4.002 2.895
Ga 0.000 8.122 0.839
Ga -1.295 6.046 2.137
Ga 1.295 6.046 2.137
Co 0.000 0.000 0.000
Co 2.707 2.707 -1.677
Co 2.707 -2.707 1.677
Co 0.000 5.414 0.000
```


no.,DOS at the Fermi energy (states/eV per atom),ΔH_f (0 K) (meV per atom),total moment (μB per formula unit)
1,1.133,491,0.00
2,0.579,-115,0.00
3,0.479,-207,0.00